No. 1
Below is a relaxed structure of Tb4TlHgC, with properties calculated at the PBE-GGA level.

Cell: 7.0183 7.0219 8.2888 Å, 90.00 115.05 90.00°
Fractional positions:
Hg  0.1196  0.2500  0.2392
Hg  0.8804  0.7500  0.7608
Tb  0.0000  0.5000  0.5000
Tb  0.0000  0.0000  0.5000
Tb  0.5000  0.0000  0.5000
Tb  0.0832  0.7500  0.1665
Tb  0.5867  0.2500  0.1733
Tb  0.5000  0.5000  0.5000
Tb  0.9168  0.2500  0.8335
Tb  0.4133  0.7500  0.8267
Tl  0.3818  0.2500  0.7635
Tl  0.6182  0.7500  0.2365
C  0.7512  0.2500  0.5025
C  0.2488  0.7500  0.4975

Output
Formation enthalpy at 0 K: -333 meV/atom
Volume: 26.4 A^3/atom
Symmetry: Cmcm, No. 63
Density of states at the Fermi level: 11.96 states/eV per cell

No. 2
Below is a relaxed structure of Tb2TmHgC, with properties calculated at the PBE-GGA level.

Cell: 4.7663 4.9600 4.9600 Å, 90.00 90.00 90.00°
Fractional positions:
C  0.0000  0.0000  0.0000
Tm  0.5000  0.0000  0.0000
Hg  0.5000  0.5000  0.5000
Tb  0.0000  0.5000  0.0000
Tb  0.0000  0.0000  0.5000

Output
Formation enthalpy at 0 K: -373 meV/atom
Volume: 23.5 A^3/atom
Symmetry: P4/mmm, No. 123
Density of states at the Fermi level: 6.56 states/eV per cell

No. 3
Below is a relaxed structure of Tb2YHgC, with properties calculated at the PBE-GGA level.

Cell: 4.8854 4.9443 4.9443 Å, 90.00 90.00 90.00°
Fractional positions:
Y  0.5000  0.0000  0.0000
C  0.0000  0.0000  0.0000
Tb  0.0000  0.0000  0.5000
Tb  0.0000  0.5000  0.0000
Hg  0.5000  0.5000  0.5000

Output
Formation enthalpy at 0 K: -362 meV/atom
Volume: 23.9 A^3/atom
Symmetry: P4/mmm, No. 123
Density of states at the Fermi level: 7.68 states/eV per cell

No. 4
Below is a relaxed structure of TbYHgC, with properties calculated at the PBE-GGA level.

Cell: 3.6318 3.6251 8.1150 Å, 90.06 102.99 120.00°
Fractional positions:
C  0.3017  0.5487  0.8659
Y  0.0870  0.9419  0.0430
Tb  0.5217  0.1584  0.6966
Hg  0.9675  0.3818  0.3642

Output
Formation enthalpy at 0 K: -374 meV/atom
Volume: 22.3 A^3/atom
Symmetry: Cm, No. 8
Density of states at the Fermi level: 3.24 states/eV per cell

No. 5
Below is a relaxed structure of TbZrHgC, with properties calculated at the PBE-GGA level.

Cell: 3.4598 3.4565 7.9941 Å, 90.00 102.50 119.96°
Fractional positions:
Zr  0.0815  0.9386  0.0352
C  0.3177  0.5568  0.8900
Tb  0.5201  0.1580  0.6930
Hg  0.9586  0.3774  0.3515

Output
Formation enthalpy at 0 K: -463 meV/atom
Volume: 20.0 A^3/atom
Symmetry: R3m, No. 160
Density of states at the Fermi level: 2.87 states/eV per cell

No. 6
Below is a relaxed structure of TcHg3C, with properties calculated at the PBE-GGA level.

Cell: 4.6000 4.6000 4.6000 Å, 90.00 90.00 90.00°
Fractional positions:
Tc  0.5000  0.5000  0.5000
C  0.0000  0.0000  0.0000
Hg  0.5000  0.0000  0.0000
Hg  0.0000  0.5000  0.0000
Hg  0.0000  0.0000  0.5000

Output
Formation enthalpy at 0 K: 1628 meV/atom
Volume: 19.5 A^3/atom
Symmetry: Pm-3m, No. 221
Density of states at the Fermi level: 3.54 states/eV per cell

No. 7
Below is a relaxed structure of TcHgC2, with properties calculated at the PBE-GGA level.

Cell: 5.0324 5.0324 5.9391 Å, 64.93 64.93 90.00°
Fractional positions:
Hg  0.0000  0.0000  0.0000
Hg  0.7500  0.2500  0.5000
Tc  0.5000  0.5000  0.0000
Tc  0.2500  0.7500  0.5000
C  0.5509  0.1250  0.2500
C  0.8750  0.8009  0.7500
C  0.3750  0.4491  0.7500
C  0.1991  0.6250  0.2500

Output
Formation enthalpy at 0 K: 1093 meV/atom
Volume: 15.1 A^3/atom
Symmetry: I-42d, No. 122
Density of states at the Fermi level: 4.38 states/eV per cell

No. 8
Below is a relaxed structure of Th8Tc3Hg3C, with properties calculated at the PBE-GGA level.

Cell: 8.0392 8.0472 9.1748 Å, 116.07 90.01 119.90°
Fractional positions:
Tc  0.5000  0.5000  0.5000
Tc  0.5000  0.0000  0.5000
Tc  0.0000  0.5000  0.5000
Hg  0.5000  0.5000  0.0000
Hg  0.0000  0.5000  0.0000
Hg  0.0000  0.0000  0.0000
Th  0.7334  0.4666  0.6999
Th  0.7814  0.5630  0.3134
Th  0.7499  0.9682  0.6867
Th  0.2666  0.5334  0.3001
Th  0.2186  0.4370  0.6866
Th  0.2184  0.9682  0.6864
Th  0.2501  0.0318  0.3133
Th  0.7816  0.0318  0.3136
C  0.0000  0.0000  0.5000

Output
Formation enthalpy at 0 K: -106 meV/atom
Volume: 29.6 A^3/atom
Symmetry: C2/m, No. 12
Density of states at the Fermi level: 13.64 states/eV per cell

No. 9
Below is a relaxed structure of Th6TcHg3C2, with properties calculated at the PBE-GGA level.

Cell: 3.8308 9.3067 9.9000 Å, 115.10 101.16 90.00°
Fractional positions:
Th  0.6580  0.1484  0.3160
Th  0.9805  0.7658  0.9609
Th  0.3141  0.4449  0.6281
Th  0.0195  0.2342  0.0391
Th  0.6859  0.5551  0.3719
Th  0.3420  0.8516  0.6840
Hg  0.1695  0.8550  0.3391
Hg  0.8305  0.1450  0.6609
Hg  0.5000  0.5000  0.0000
C  0.1689  0.3477  0.3378
C  0.8311  0.6523  0.6622
Tc  0.5000  0.0000  0.0000

Output
Formation enthalpy at 0 K: -238 meV/atom
Volume: 26.0 A^3/atom
Symmetry: C2/m, No. 12
Density of states at the Fermi level: 9.67 states/eV per cell

No. 10
Below is a relaxed structure of Tm2TcHgC, with properties calculated at the PBE-GGA level.

Cell: 3.9977 4.8965 4.8965 Å, 90.00 90.00 90.00°
Fractional positions:
Hg  0.5000  0.5000  0.5000
Tm  0.0000  0.0000  0.5000
Tm  0.0000  0.5000  0.0000
Tc  0.5000  0.0000  0.0000
C  0.0000  0.0000  0.0000

Output
Formation enthalpy at 0 K: -395 meV/atom
Volume: 19.2 A^3/atom
Symmetry: P4/mmm, No. 123
Density of states at the Fermi level: 2.56 states/eV per cell

No. 11
Below is a relaxed structure of HgTe2C, with properties calculated at the PBE-GGA level.

Cell: 10.2304 10.2304 10.2304 Å, 18.96 18.96 18.96°
Fractional positions:
Te  0.8847  0.8847  0.8847
Te  0.1153  0.1153  0.1153
Hg  0.0000  0.0000  0.0000
C  0.5000  0.5000  0.5000

Output
ΔE_f (raw): 1.0191 eV/atom
Volume: 24.7 A^3/atom
Symmetry: R-3m, No. 166
E above lowest polymorph: 159 meV/atom
Density of states at the Fermi level: 1.90 states/eV per cell

No. 12
Below is a relaxed structure of HgTe2C, with properties calculated at the PBE-GGA level.

Cell: 7.7393 7.7393 7.7393 Å, 41.65 41.65 41.65°
Fractional positions:
C  0.0000  0.0000  0.0000
Hg  0.5000  0.5000  0.5000
Te  0.9091  0.9091  0.9091
Te  0.0909  0.0909  0.0909

Output
ΔE_f (raw): 0.8602 eV/atom
Volume: 46.3 A^3/atom
Symmetry: R-3m, No. 166
E above lowest polymorph: 0 meV/atom
Density of states at the Fermi level: 0.00 states/eV per cell